Er2ThZn: optimized geometry, PBE.

The structure in POSCAR format:
```
Er2ThZn
1.0
3.538 0.000 0.000
-1.769 3.064 0.000
0.000 0.000 30.984
Er Th Zn
6 3 3
direct
0.000 0.000 0.000
0.000 0.000 0.190
0.333 0.667 0.667
0.333 0.667 0.857
0.667 0.333 0.333
0.667 0.333 0.524
0.000 0.000 0.429
0.333 0.667 0.096
0.667 0.333 0.762
0.000 0.000 0.595
0.333 0.667 0.261
0.667 0.333 0.928
```

Results
total DFT energy (no corrections)	-4.487	eV/atom
D(E_F)	5.63	states/eV/f.u.
energy above the lowest structure with this stoichiometry	137	meV per atom
magnetic moment	0.00	μB/f.u.
ΔE_f	-0.0326	eV/atom

---

ErThZn4: optimized geometry, PBE.

The structure in POSCAR format:
```
ErThZn4
1.0
0.000 3.892 3.892
3.892 0.000 3.892
3.892 3.892 0.000
Er Th Zn
1 1 4
direct
0.000 0.000 0.000
0.750 0.750 0.750
0.374 0.374 0.374
0.374 0.374 0.878
0.374 0.878 0.374
0.878 0.374 0.374
```

Results
total DFT energy (no corrections)	-3.118	eV/atom
D(E_F)	4.35	states/eV/f.u.
energy above the lowest structure with this stoichiometry	0	meV per atom
magnetic moment	0.00	μB/f.u.
ΔE_f	-0.2713	eV/atom